# Pm12Tl3Hg | Alexandria via LeMat-Bulk | PBE-GGA | optimized geometry
data_Pm12Tl3Hg
_cell_length_a 4.9533
_cell_length_b 4.9533
_cell_length_c 19.7596
_cell_angle_alpha 90.00
_cell_angle_beta 90.00
_cell_angle_gamma 90.00
_symmetry_space_group_name_H-M 'P 4/m m m'
_symmetry_Int_Tables_number 123
_symmetry_space_group_name_Hall '-P 4 2'
loop_
_atom_site_label
_atom_site_type_symbol
_atom_site_fract_x
_atom_site_fract_y
_atom_site_fract_z
Pm1 Pm 0.0000 0.0000 0.0000
Pm2 Pm 0.0000 0.0000 0.2474
Pm3 Pm 0.0000 0.0000 0.5000
Pm4 Pm 0.0000 0.5000 0.1230
Pm5 Pm 0.0000 0.5000 0.3742
Tl1 Tl 0.5000 0.5000 0.2492
Tl2 Tl 0.5000 0.5000 0.5000
Hg1 Hg 0.5000 0.5000 0.0000
# Crystal system: tetragonal
# Density of states at the Fermi level, states/eV/f.u.: 23.6
# DFT total energy, eV per cell: -67.55
# Spin magnetization, Bohr magnetons per cell: 0.0